(1)
# Hf3MnSi, optimized geometry, DFT PBE
# Formation energy from raw total energies = 0.827 eV per atom
# Volume = 111.9 Å³/cell
# Raw total energy = -0.296 Ha/atom
# Offset from the most stable computed form = 0.418 eV/atom
data_Hf3MnSi
_chemical_formula_sum 'Hf3 Mn1 Si1'
_space_group_name_H-M_alt 'P 1'
_space_group_IT_number 1
_cell_length_a 4.8195
_cell_length_b 4.8195
_cell_length_c 4.8195
_cell_angle_alpha 90.00
_cell_angle_beta 90.00
_cell_angle_gamma 90.00
loop_
_space_group_symop_operation_xyz
'x,y,z'
loop_
_atom_site_label
_atom_site_type_symbol
_atom_site_fract_x
_atom_site_fract_y
_atom_site_fract_z
Hf1 Hf 0.0000 0.0000 0.5000
Hf2 Hf 0.0000 0.5000 0.0000
Hf3 Hf 0.5000 0.0000 0.0000
Mn1 Mn 0.5000 0.5000 0.5000
Si1 Si 0.0000 0.0000 0.0000

(2)
# HfMnSi2, optimized geometry, DFT PBE
# Formation energy from raw total energies = 0.081 eV per atom
# Volume = 134.9 Å³/cell
# Raw total energy = -0.272 Ha/atom
data_HfMnSi2
_chemical_formula_sum 'Hf2 Mn2 Si4'
_space_group_name_H-M_alt 'P 1'
_space_group_IT_number 1
_cell_length_a 9.1458
_cell_length_b 9.1458
_cell_length_c 9.1458
_cell_angle_alpha 155.15
_cell_angle_beta 155.15
_cell_angle_gamma 35.43
loop_
_space_group_symop_operation_xyz
'x,y,z'
loop_
_atom_site_label
_atom_site_type_symbol
_atom_site_fract_x
_atom_site_fract_y
_atom_site_fract_z
Hf1 Hf 0.0000 0.0000 0.0000
Hf2 Hf 0.7500 0.2500 0.5000
Mn1 Mn 0.2500 0.7500 0.5000
Mn2 Mn 0.5000 0.5000 0.0000
Si1 Si 0.1941 0.6250 0.0691
Si2 Si 0.3750 0.4441 0.5691
Si3 Si 0.5559 0.1250 0.9309
Si4 Si 0.8750 0.8059 0.4309

Question: Look up the formation energy from raw total energies of the first one.
Answer: 0.827 eV per atom

Question: Among the records above, which one has the lowest raw total energy?
Answer: Hf3MnSi